(1)
Compound: La2Be2Zn
Source: the Alexandria database
Functional: PBE-GGA
Structure: relaxed

```
10
Lattice="6.709 0.000 0.000 0.000 6.709 0.000 0.000 0.000 4.648" Properties=species:S:1:pos:R:3 pbc="T T T"
La 1.132 2.222 0.000
La 2.222 5.576 0.000
La 4.487 1.132 0.000
La 5.576 4.487 0.000
Be 0.828 4.183 2.324
Be 2.526 0.828 2.324
Be 4.183 5.880 2.324
Be 5.880 2.526 2.324
Zn 0.000 0.000 2.324
Zn 3.354 3.354 2.324
```

ΔH_f (0 K) = 0.07 eV/atom
DOS(E_F) = 1.59 states/eV/f.u.
SG = P4/mbm, No. 127

(2)
Compound: La2BeZn
Source: the Alexandria database
Functional: PBE-GGA
Structure: relaxed

```
4
Lattice="0.000 3.685 3.685 3.685 0.000 3.685 3.685 3.685 0.000" Properties=species:S:1:pos:R:3 pbc="T T T"
La 1.843 1.843 1.843
La 5.528 5.528 5.528
Be 0.000 0.000 0.000
Zn 3.685 3.685 3.685
```

excess energy over the best structure of this formula in the dataset = 16 meV per atom
ΔH_f (0 K) = -0.03 eV/atom
DOS(E_F) = 3.80 states/eV/f.u.
SG = Fm-3m, No. 225

(3)
Compound: LaBe3Zn
Source: the Alexandria database
Functional: PBE-GGA
Structure: relaxed

```
5
Lattice="5.280 0.000 0.000 0.000 5.280 0.000 0.000 0.000 5.280" Properties=species:S:1:pos:R:3 pbc="T T T"
La 0.000 0.000 0.000
Be 0.000 0.000 2.640
Be 0.000 2.640 0.000
Be 2.640 0.000 0.000
Zn 2.640 2.640 2.640
```

excess energy over the best structure of this formula in the dataset = 1691 meV per atom
ΔH_f (0 K) = 1.99 eV/atom
DOS(E_F) = 5.33 states/eV/f.u.
SG = Pm-3m, No. 221

(4)
Compound: LaBeZn
Source: the Alexandria database
Functional: PBE-GGA
Structure: relaxed

```
3
Lattice="4.442 0.000 0.000 -2.221 3.847 0.000 0.000 0.000 3.685" Properties=species:S:1:pos:R:3 pbc="T T T"
La 0.000 0.000 0.000
Be 0.000 2.565 1.842
Zn 2.221 1.282 1.842
```

excess energy over the best structure of this formula in the dataset = 52 meV per atom
ΔH_f (0 K) = -0.05 eV/atom
DOS(E_F) = 2.83 states/eV/f.u.
SG = P-6m2, No. 187

(5)
Compound: LaBe4Zn
Source: the Alexandria database
Functional: PBE-GGA
Structure: relaxed

```
6
Lattice="0.000 3.496 3.496 3.496 0.000 3.496 3.496 3.496 0.000" Properties=species:S:1:pos:R:3 pbc="T T T"
La 0.000 0.000 0.000
Be 4.369 2.623 2.623
Be 2.623 4.369 2.623
Be 2.623 2.623 4.369
Be 4.369 4.369 4.369
Zn 1.748 1.748 1.748
```

ΔH_f (0 K) = 0.31 eV/atom
DOS(E_F) = 2.39 states/eV/f.u.
SG = F-43m, No. 216

(6)
Compound: La2BeZn
Source: the Alexandria database
Functional: PBE-GGA
Structure: relaxed

```
4
Lattice="3.283 0.000 0.000 0.000 3.283 0.000 0.000 0.000 8.618" Properties=species:S:1:pos:R:3 pbc="T T T"
La 0.000 0.000 0.000
La 1.641 1.641 3.148
Be 1.641 1.641 6.483
Zn 0.000 0.000 5.425
```

excess energy over the best structure of this formula in the dataset = 193 meV per atom
ΔH_f (0 K) = 0.15 eV/atom
DOS(E_F) = 3.77 states/eV/f.u.
SG = P4mm, No. 99

(7)
Compound: LaBeZn
Source: the Alexandria database
Functional: PBE-GGA
Structure: relaxed

```
3
Lattice="0.000 3.406 3.406 3.406 0.000 3.406 3.406 3.406 0.000" Properties=species:S:1:pos:R:3 pbc="T T T"
La 0.000 0.000 0.000
Be 5.109 5.109 5.109
Zn 1.703 1.703 1.703
```

excess energy over the best structure of this formula in the dataset = 716 meV per atom
ΔH_f (0 K) = 0.62 eV/atom
DOS(E_F) = 2.63 states/eV/f.u.
SG = F-43m, No. 216

(8)
Compound: LaZr2Be
Source: the Alexandria database
Functional: PBE-GGA
Structure: relaxed

```
4
Lattice="5.896 -1.674 0.000 5.896 1.674 0.000 -1.992 0.000 4.559" Properties=species:S:1:pos:R:3 pbc="T T T"
La 0.000 0.000 0.000
Zr 1.122 0.000 3.069
Zr 4.074 0.000 1.905
Be 8.323 0.000 0.731
```

ΔH_f (0 K) = 0.27 eV/atom
DOS(E_F) = 4.25 states/eV/f.u.
SG = Cm, No. 8

(9)
Compound: La2ZrBe
Source: the Alexandria database
Functional: PBE-GGA
Structure: relaxed

```
4
Lattice="-1.725 2.341 6.167 1.725 -2.341 6.167 1.725 2.341 -6.167" Properties=species:S:1:pos:R:3 pbc="T T T"
La 0.000 0.000 2.439
La 0.000 0.000 9.896
Zr 0.000 2.341 0.000
Be 1.725 0.000 0.000
```

ΔH_f (0 K) = 0.34 eV/atom
DOS(E_F) = 5.53 states/eV/f.u.
SG = Immm, No. 71

(10)
Compound: LaZrBe17
Source: the Alexandria database
Functional: PBE-GGA
Structure: relaxed

```
19
Lattice="3.865 2.231 3.768 -3.865 2.231 3.768 0.000 -4.462 3.768" Properties=species:S:1:pos:R:3 pbc="T T T"
La 0.000 0.000 0.000
Zr 0.000 0.000 7.629
Be -1.090 -1.854 3.835
Be -2.151 -0.017 3.835
Be -1.889 -1.091 5.763
Be 0.000 0.000 2.804
Be 1.090 -1.854 3.835
Be -1.060 1.871 3.835
Be 0.000 -2.190 5.756
Be -1.897 1.095 5.756
Be 0.000 0.000 4.943
Be -1.935 -1.117 9.410
Be 2.151 -0.017 3.835
Be 1.060 1.871 3.835
Be 1.889 -1.091 5.763
Be 0.000 2.181 5.763
Be 1.897 1.095 5.756
Be 1.935 -1.117 9.410
Be 0.000 2.235 9.410
```

ΔH_f (0 K) = -0.11 eV/atom
DOS(E_F) = 3.80 states/eV/f.u.
SG = R3m, No. 160

(11)
Compound: LaZr2Be
Source: the Alexandria database
Functional: PBE-GGA
Structure: relaxed

```
4
Lattice="3.599 -3.607 0.000 3.599 3.607 0.000 0.000 0.000 3.324" Properties=species:S:1:pos:R:3 pbc="T T T"
La 0.000 0.000 0.000
Zr 1.800 1.804 1.662
Zr 1.800 -1.804 1.662
Be 3.599 0.000 0.000
```

ΔH_f (0 K) = 0.43 eV/atom
DOS(E_F) = 4.97 states/eV/f.u.
SG = Cmmm, No. 65

(12)
Compound: La4ZrBe
Source: the Alexandria database
Functional: PBE-GGA
Structure: relaxed

```
6
Lattice="0.000 4.536 4.536 4.536 0.000 4.536 4.536 4.536 0.000" Properties=species:S:1:pos:R:3 pbc="T T T"
La 1.132 1.132 1.132
La 3.404 3.404 1.132
La 3.404 1.132 3.404
La 1.132 3.404 3.404
Zr 6.805 6.805 6.805
Be 4.536 4.536 4.536
```

ΔH_f (0 K) = 0.78 eV/atom
DOS(E_F) = 8.57 states/eV/f.u.
SG = F-43m, No. 216

(13)
Compound: La2ZrBe
Source: the Alexandria database
Functional: PBE-GGA
Structure: relaxed

```
4
Lattice="6.131 -1.779 0.000 6.131 1.779 0.000 -2.304 0.000 4.796" Properties=species:S:1:pos:R:3 pbc="T T T"
La 0.000 0.000 0.000
La 0.880 0.000 3.361
Zr 4.100 0.000 1.973
Be 8.471 0.000 1.101
```

ΔH_f (0 K) = 0.17 eV/atom
DOS(E_F) = 5.15 states/eV/f.u.
SG = Cm, No. 8

(14)
Compound: LaZr2Be
Source: the Alexandria database
Functional: PBE-GGA
Structure: relaxed

```
4
Lattice="0.000 3.557 3.557 3.557 0.000 3.557 3.557 3.557 0.000" Properties=species:S:1:pos:R:3 pbc="T T T"
La 0.000 0.000 0.000
Zr 1.779 1.779 1.779
Zr 3.557 3.557 3.557
Be 5.336 5.336 5.336
```

ΔH_f (0 K) = 0.33 eV/atom
DOS(E_F) = 5.91 states/eV/f.u.
SG = F-43m, No. 216

(15)
Compound: LaZr2Be
Source: the Alexandria database
Functional: PBE-GGA
Structure: relaxed

```
4
Lattice="4.482 0.000 0.000 0.000 4.482 0.000 0.000 0.000 4.418" Properties=species:S:1:pos:R:3 pbc="T T T"
La 0.000 0.000 0.000
Zr 0.000 2.241 2.209
Zr 2.241 0.000 2.209
Be 2.241 2.241 0.000
```

ΔH_f (0 K) = 0.29 eV/atom
DOS(E_F) = 4.38 states/eV/f.u.
SG = P4/mmm, No. 123

(16)
Compound: La2ZrBe
Source: the Alexandria database
Functional: PBE-GGA
Structure: relaxed

```
4
Lattice="-2.303 2.303 4.717 2.303 -2.303 4.717 2.303 2.303 -4.717" Properties=species:S:1:pos:R:3 pbc="T T T"
La 0.000 0.000 0.000
La 0.000 2.303 2.358
Zr 2.303 0.000 2.358
Be 0.000 0.000 4.717
```

ΔH_f (0 K) = 0.34 eV/atom
DOS(E_F) = 4.83 states/eV/f.u.
SG = I-4m2, No. 119

(17)
Compound: LaZr2Be
Source: the Alexandria database
Functional: PBE-GGA
Structure: relaxed

```
4
Lattice="3.335 0.000 0.000 0.000 4.714 0.000 -1.656 0.000 6.102" Properties=species:S:1:pos:R:3 pbc="T T T"
La 0.000 0.000 0.000
Zr 0.016 0.000 3.347
Zr 1.681 2.357 2.356
Be 0.008 2.357 4.690
```

ΔH_f (0 K) = 0.26 eV/atom
DOS(E_F) = 4.91 states/eV/f.u.
SG = Pm, No. 6

(18)
Compound: La2ZrBe
Source: the Alexandria database
Functional: PBE-GGA
Structure: relaxed

```
4
Lattice="-2.334 2.334 4.658 2.334 -2.334 4.658 2.334 2.334 -4.658" Properties=species:S:1:pos:R:3 pbc="T T T"
La 2.334 0.000 2.329
La 0.000 2.334 2.329
Zr 0.000 0.000 0.000
Be 0.000 0.000 4.658
```

ΔH_f (0 K) = 0.35 eV/atom
DOS(E_F) = 4.62 states/eV/f.u.
SG = I4/mmm, No. 139

(19)
Compound: LaZrBe
Source: the Alexandria database
Functional: PBE-GGA
Structure: relaxed

```
3
Lattice="0.000 3.333 3.333 3.333 0.000 3.333 3.333 3.333 0.000" Properties=species:S:1:pos:R:3 pbc="T T T"
La 0.000 0.000 0.000
Zr 1.667 1.667 1.667
Be 5.000 5.000 5.000
```

excess energy over the best structure of this formula in the dataset = 1039 meV per atom
ΔH_f (0 K) = 1.22 eV/atom
DOS(E_F) = 3.74 states/eV/f.u.
SG = F-43m, No. 216

(20)
Compound: La2ZrBe
Source: the Alexandria database
Functional: PBE-GGA
Structure: relaxed

```
4
Lattice="3.666 -4.061 0.000 3.666 4.061 0.000 0.000 0.000 3.543" Properties=species:S:1:pos:R:3 pbc="T T T"
La 1.833 2.030 0.000
La 1.833 -2.030 0.000
Zr 0.000 0.000 1.771
Be 3.666 0.000 1.771
```

ΔH_f (0 K) = 0.34 eV/atom
DOS(E_F) = 5.56 states/eV/f.u.
SG = Cmmm, No. 65

(21)
Compound: LaZrBe
Source: the Alexandria database
Functional: PBE-GGA
Structure: relaxed

```
3
Lattice="3.411 0.000 0.000 -1.705 2.954 0.000 0.000 0.000 7.022" Properties=species:S:1:pos:R:3 pbc="T T T"
La 0.000 0.000 0.000
Zr 1.705 0.985 3.131
Be 0.000 1.969 4.872
```

excess energy over the best structure of this formula in the dataset = 212 meV per atom
ΔH_f (0 K) = 0.40 eV/atom
DOS(E_F) = 4.01 states/eV/f.u.
SG = P3m1, No. 156

(22)
Compound: La2ZrBe
Source: the Alexandria database
Functional: PBE-GGA
Structure: relaxed

```
4
Lattice="1.768 1.020 9.906 -1.768 1.020 9.906 0.000 -2.041 9.906" Properties=species:S:1:pos:R:3 pbc="T T T"
La 0.000 0.000 0.000
La 0.000 0.000 6.494
Zr 0.000 0.000 22.520
Be 0.000 0.000 14.308
```

ΔH_f (0 K) = 0.28 eV/atom
DOS(E_F) = 4.50 states/eV/f.u.
SG = R3m, No. 160

(23)
Compound: La2ZrBe
Source: the Alexandria database
Functional: PBE-GGA
Structure: relaxed

```
4
Lattice="3.493 0.000 0.000 0.000 3.493 0.000 0.000 0.000 8.615" Properties=species:S:1:pos:R:3 pbc="T T T"
La 0.000 0.000 1.844
La 0.000 0.000 6.771
Zr 1.747 1.747 4.308
Be 1.747 1.747 0.000
```

ΔH_f (0 K) = 0.24 eV/atom
DOS(E_F) = 4.45 states/eV/f.u.
SG = P4/mmm, No. 123

(24)
Compound: LaZrBe
Source: the Alexandria database
Functional: PBE-GGA
Structure: relaxed

```
3
Lattice="-1.644 1.644 6.252 1.644 -1.644 6.252 1.644 1.644 -6.252" Properties=species:S:1:pos:R:3 pbc="T T T"
La 0.000 0.000 0.000
Zr 0.000 0.000 3.558
Be 0.000 0.000 8.398
```

excess energy over the best structure of this formula in the dataset = 0 meV per atom
ΔH_f (0 K) = 0.18 eV/atom
DOS(E_F) = 3.14 states/eV/f.u.
SG = I4mm, No. 107

(25)
Compound: LaZr2Be
Source: the Alexandria database
Functional: PBE-GGA
Structure: relaxed

```
4
Lattice="-2.223 2.223 4.464 2.223 -2.223 4.464 2.223 2.223 -4.464" Properties=species:S:1:pos:R:3 pbc="T T T"
La 0.000 0.000 0.000
Zr 2.223 0.000 2.232
Zr 0.000 0.000 4.464
Be 0.000 2.223 2.232
```

ΔH_f (0 K) = 0.28 eV/atom
DOS(E_F) = 4.83 states/eV/f.u.
SG = I-4m2, No. 119

(26)
Compound: LaZrBe4
Source: the Alexandria database
Functional: PBE-GGA
Structure: relaxed

```
6
Lattice="0.000 3.530 3.530 3.530 0.000 3.530 3.530 3.530 0.000" Properties=species:S:1:pos:R:3 pbc="T T T"
La 0.000 0.000 0.000
Zr 5.294 5.294 5.294
Be 2.697 2.697 2.697
Be 4.362 4.362 2.697
Be 4.362 2.697 4.362
Be 2.697 4.362 4.362
```

ΔH_f (0 K) = 0.12 eV/atom
DOS(E_F) = 3.87 states/eV/f.u.
SG = F-43m, No. 216

(27)
Compound: LaZr4Be
Source: the Alexandria database
Functional: PBE-GGA
Structure: relaxed

```
6
Lattice="0.000 4.190 4.190 4.190 0.000 4.190 4.190 4.190 0.000" Properties=species:S:1:pos:R:3 pbc="T T T"
La 0.000 0.000 0.000
Zr 5.248 3.133 3.133
Zr 3.133 5.248 3.133
Zr 3.133 3.133 5.248
Zr 5.248 5.248 5.248
Be 2.095 2.095 2.095
```

ΔH_f (0 K) = 0.57 eV/atom
DOS(E_F) = 9.28 states/eV/f.u.
SG = F-43m, No. 216

(28)
Compound: LaZr2Be
Source: the Alexandria database
Functional: PBE-GGA
Structure: relaxed

```
4
Lattice="3.060 -5.267 0.000 3.060 5.267 0.000 -1.682 0.000 2.826" Properties=species:S:1:pos:R:3 pbc="T T T"
La 0.000 0.000 0.000
Zr 0.689 2.634 1.413
Zr 0.689 -2.634 1.413
Be 3.060 0.000 0.000
```

ΔH_f (0 K) = 0.41 eV/atom
DOS(E_F) = 4.88 states/eV/f.u.
SG = C2/m, No. 12

(29)
Compound: La2ZrBe
Source: the Alexandria database
Functional: PBE-GGA
Structure: relaxed

```
4
Lattice="0.000 3.641 3.641 3.641 0.000 3.641 3.641 3.641 0.000" Properties=species:S:1:pos:R:3 pbc="T T T"
La 0.000 0.000 0.000
La 1.821 1.821 1.821
Zr 5.462 5.462 5.462
Be 3.641 3.641 3.641
```

ΔH_f (0 K) = 0.43 eV/atom
DOS(E_F) = 6.31 states/eV/f.u.
SG = F-43m, No. 216